Material: Zr2TlO
Method: DFT, PBE-GGA
State: relaxed

a = 3.4476 Å, b = 3.4476 Å, c = 21.4296 Å
α = 90.00°, β = 90.00°, γ = 120.00°
Space group R-3m (No. 166, hexagonal axes)
Asymmetric unit:
Zr1 0.0000 0.0000 0.2203 x6
Tl1 0.0000 0.0000 0.0000 x3
O1 0.0000 0.0000 0.5000 x3

Calculated values
**Energy above the most stable polymorph in this dataset**: 6 meV/atom
**Formation energy from raw total energies**: -1.19 eV per atom